[1]
The following is a DFT calculation (PBE-GGA) of crystalline PmGaTc2C at its relaxed geometry.

a = 5.7851 Å, b = 5.7851 Å, c = 7.6949 Å
α = 90.00°, β = 90.00°, γ = 139.77°
Sites, in units of the cell vectors:
Pm (0.0394, 0.9606, 0.7500)
Pm (0.9606, 0.0394, 0.2500)
Ga (0.2367, 0.7633, 0.2500)
Ga (0.7633, 0.2367, 0.7500)
Tc (0.3259, 0.6741, 0.5561)
Tc (0.3259, 0.6741, 0.9439)
Tc (0.6741, 0.3259, 0.0561)
Tc (0.6741, 0.3259, 0.4439)
C (0.5000, 0.5000, 0.0000)
C (0.5000, 0.5000, 0.5000)

Calculated values
The value obtained for the density of states at the Fermi level is 0.571 states/eV per atom. The value obtained for the total energy is -0.2886 hartree per atom. As for the space group: No. 63.

[2]
The following is a DFT calculation (PBE-GGA) of crystalline PmGa2Tc2C at its relaxed geometry.

a = 4.1685 Å, b = 4.1685 Å, c = 5.5970 Å
α = 90.00°, β = 90.00°, γ = 90.00°
Sites, in units of the cell vectors:
Pm (0.0000, 0.0000, 0.0000)
Ga (0.5000, 0.5000, 0.2218)
Ga (0.5000, 0.5000, 0.7782)
Tc (0.0000, 0.5000, 0.5000)
Tc (0.5000, 0.0000, 0.5000)
C (0.0000, 0.0000, 0.5000)

Calculated values
The value obtained for the density of states at the Fermi level is 0.613 states/eV per atom. The value obtained for the total energy is -0.2642 hartree per atom. As for the space group: No. 123.

[3]
The following is a DFT calculation (PBE-GGA) of crystalline Pm3Ga2Tc3C at its relaxed geometry.

a = 7.5328 Å, b = 7.5328 Å, c = 3.4605 Å
α = 90.00°, β = 90.00°, γ = 120.00°
Sites, in units of the cell vectors:
Pm (0.0000, 0.3600, 0.0000)
Pm (0.3600, 0.0000, 0.0000)
Pm (0.6400, 0.6400, 0.0000)
Ga (0.3333, 0.6667, 0.5000)
Ga (0.6667, 0.3333, 0.5000)
Tc (0.0000, 0.7848, 0.5000)
Tc (0.2152, 0.2152, 0.5000)
Tc (0.7848, 0.0000, 0.5000)
C (0.0000, 0.0000, 0.0000)

Calculated values
The value obtained for the density of states at the Fermi level is 1.010 states/eV per atom. The value obtained for the total energy is -0.2465 hartree per atom. As for the space group: No. 189.

[4]
The following is a DFT calculation (PBE-GGA) of crystalline PmY2GaC at its relaxed geometry.

a = 4.8766 Å, b = 4.8766 Å, c = 5.0338 Å
α = 90.00°, β = 90.00°, γ = 90.00°
Sites, in units of the cell vectors:
Pm (0.0000, 0.0000, 0.0000)
Y (0.0000, 0.5000, 0.5000)
Y (0.5000, 0.0000, 0.5000)
Ga (0.5000, 0.5000, 0.0000)
C (0.0000, 0.0000, 0.5000)

Calculated values
The value obtained for the density of states at the Fermi level is 0.413 states/eV per atom. The value obtained for the total energy is -0.2351 hartree per atom. As for the space group: No. 123.

[5]
The following is a DFT calculation (PBE-GGA) of crystalline Pr4GaC at its relaxed geometry.

a = 8.5256 Å, b = 8.5256 Å, c = 6.4194 Å
α = 104.46°, β = 104.46°, γ = 120.96°
Sites, in units of the cell vectors:
Pr (0.0585, 0.6584, 0.8562)
Pr (0.1814, 0.2756, 0.6964)
Pr (0.2756, 0.1814, 0.1964)
Pr (0.3416, 0.9415, 0.6438)
Pr (0.6584, 0.0585, 0.3562)
Pr (0.7244, 0.8186, 0.8036)
Pr (0.8186, 0.7244, 0.3036)
Pr (0.9415, 0.3416, 0.1438)
Ga (0.3834, 0.6166, 0.2500)
Ga (0.6166, 0.3834, 0.7500)
C (0.0724, 0.9276, 0.7500)
C (0.9276, 0.0724, 0.2500)

Calculated values
The value obtained for the density of states at the Fermi level is 0.976 states/eV per atom. The value obtained for the total energy is -0.1972 hartree per atom. As for the space group: No. 15.

[6]
The following is a DFT calculation (PBE-GGA) of crystalline Pr4Ga2C at its relaxed geometry.

a = 7.9785 Å, b = 13.0129 Å, c = 3.7815 Å
α = 90.00°, β = 90.00°, γ = 90.00°
Sites, in units of the cell vectors:
Pr (0.1174, 0.1873, 0.0000)
Pr (0.2141, 0.9516, 0.5000)
Pr (0.2859, 0.4516, 0.5000)
Pr (0.3826, 0.6873, 0.0000)
Pr (0.6174, 0.3127, 0.0000)
Pr (0.7141, 0.5484, 0.5000)
Pr (0.7859, 0.0484, 0.5000)
Pr (0.8826, 0.8127, 0.0000)
Ga (0.0797, 0.6672, 0.5000)
Ga (0.4203, 0.1672, 0.5000)
Ga (0.5797, 0.8328, 0.5000)
Ga (0.9203, 0.3328, 0.5000)
C (0.0000, 0.0000, 0.0000)
C (0.5000, 0.5000, 0.0000)

Calculated values
The value obtained for the density of states at the Fermi level is 0.984 states/eV per atom. The value obtained for the total energy is -0.1882 hartree per atom. Its distance to the lowest polymorph of the same formula is 67 meV/atom. As for the space group: No. 55.

[7]
The following is a DFT calculation (PBE-GGA) of crystalline Pr3GaC at its relaxed geometry.

a = 5.1172 Å, b = 5.1172 Å, c = 5.1172 Å
α = 90.00°, β = 90.00°, γ = 90.00°
Sites, in units of the cell vectors:
Pr (0.0000, 0.0000, 0.5000)
Pr (0.0000, 0.5000, 0.0000)
Pr (0.5000, 0.0000, 0.0000)
Ga (0.5000, 0.5000, 0.5000)
C (0.0000, 0.0000, 0.0000)

Calculated values
The value obtained for the density of states at the Fermi level is 0.424 states/eV per atom. The value obtained for the total energy is -0.2032 hartree per atom. Its distance to the lowest polymorph of the same formula is 34 meV/atom. As for the space group: No. 221.

[8]
The following is a DFT calculation (PBE-GGA) of crystalline Pr2GaC at its relaxed geometry.

a = 3.6701 Å, b = 3.6701 Å, c = 27.7962 Å
α = 90.00°, β = 90.00°, γ = 120.00°
Sites, in units of the cell vectors:
Pr (0.0000, 0.0000, 0.1153)
Pr (0.0000, 0.0000, 0.8847)
Pr (0.3333, 0.6667, 0.5513)
Pr (0.3333, 0.6667, 0.7820)
Pr (0.6667, 0.3333, 0.2180)
Pr (0.6667, 0.3333, 0.4487)
Ga (0.0000, 0.0000, 0.0000)
Ga (0.3333, 0.6667, 0.6667)
Ga (0.6667, 0.3333, 0.3333)
C (0.0000, 0.0000, 0.5000)
C (0.3333, 0.6667, 0.1667)
C (0.6667, 0.3333, 0.8333)

Calculated values
The value obtained for the density of states at the Fermi level is 0.571 states/eV per atom. The value obtained for the total energy is -0.1987 hartree per atom. As for the space group: No. 166.

[9]
The following is a DFT calculation (PBE-GGA) of crystalline Pr4Ga2C at its relaxed geometry.

a = 5.1911 Å, b = 5.1911 Å, c = 14.6679 Å
α = 90.00°, β = 90.00°, γ = 90.00°
Sites, in units of the cell vectors:
Pr (0.0000, 0.0000, 0.1748)
Pr (0.0000, 0.0000, 0.8252)
Pr (0.0000, 0.5000, 0.0000)
Pr (0.0000, 0.5000, 0.5000)
Pr (0.5000, 0.0000, 0.0000)
Pr (0.5000, 0.0000, 0.5000)
Pr (0.5000, 0.5000, 0.3252)
Pr (0.5000, 0.5000, 0.6748)
Ga (0.0000, 0.0000, 0.3799)
Ga (0.0000, 0.0000, 0.6201)
Ga (0.5000, 0.5000, 0.1201)
Ga (0.5000, 0.5000, 0.8799)
C (0.0000, 0.0000, 0.0000)
C (0.5000, 0.5000, 0.5000)

Calculated values
The value obtained for the density of states at the Fermi level is 0.140 states/eV per atom. The value obtained for the total energy is -0.1907 hartree per atom. Its distance to the lowest polymorph of the same formula is 0 meV/atom. As for the space group: No. 139.

[10]
The following is a DFT calculation (PBE-GGA) of crystalline Pr6Ga3C at its relaxed geometry.

a = 6.5137 Å, b = 8.2899 Å, c = 11.9117 Å
α = 90.00°, β = 118.87°, γ = 90.00°
Sites, in units of the cell vectors:
Pr (0.0919, 0.0492, 0.2300)
Pr (0.0919, 0.4508, 0.7300)
Pr (0.1787, 0.7078, 0.0627)
Pr (0.1787, 0.7922, 0.5627)
Pr (0.3926, 0.1507, 0.0575)
Pr (0.3926, 0.3493, 0.5575)
Pr (0.6074, 0.6507, 0.4425)
Pr (0.6074, 0.8493, 0.9425)
Pr (0.8213, 0.2078, 0.4373)
Pr (0.8213, 0.2922, 0.9373)
Pr (0.9081, 0.5492, 0.2700)
Pr (0.9081, 0.9508, 0.7700)
Ga (0.3205, 0.1136, 0.7379)
Ga (0.3205, 0.3864, 0.2379)
Ga (0.5000, 0.0000, 0.5000)
Ga (0.5000, 0.5000, 0.0000)
Ga (0.6795, 0.6136, 0.7621)
Ga (0.6795, 0.8864, 0.2621)
C (0.0000, 0.0000, 0.0000)
C (0.0000, 0.5000, 0.5000)

Calculated values
The value obtained for the density of states at the Fermi level is 1.005 states/eV per atom. The value obtained for the total energy is -0.1836 hartree per atom. As for the space group: No. 14.

[11]
The following is a DFT calculation (PBE-GGA) of crystalline Pr3GaC at its relaxed geometry.

a = 7.9077 Å, b = 7.9077 Å, c = 8.9151 Å
α = 93.45°, β = 93.45°, γ = 27.89°
Sites, in units of the cell vectors:
Pr (0.0492, 0.0492, 0.2707)
Pr (0.2462, 0.2462, 0.6721)
Pr (0.3490, 0.3490, 0.0369)
Pr (0.6510, 0.6510, 0.9631)
Pr (0.7538, 0.7538, 0.3279)
Pr (0.9508, 0.9508, 0.7293)
Ga (0.4137, 0.4137, 0.4410)
Ga (0.5863, 0.5863, 0.5590)
C (0.1963, 0.1963, 0.1520)
C (0.8037, 0.8037, 0.8480)

Calculated values
The value obtained for the density of states at the Fermi level is 0.750 states/eV per atom. The value obtained for the total energy is -0.2045 hartree per atom. Its distance to the lowest polymorph of the same formula is 0 meV/atom. As for the space group: No. 12.

[12]
The following is a DFT calculation (PBE-GGA) of crystalline Pr2Ga2Ru2C at its relaxed geometry.

a = 11.4054 Å, b = 4.2388 Å, c = 7.3438 Å
α = 90.00°, β = 129.52°, γ = 90.00°
Sites, in units of the cell vectors:
Pr (0.0602, 0.0000, 0.2920)
Pr (0.4398, 0.5000, 0.7080)
Pr (0.5602, 0.5000, 0.2920)
Pr (0.9398, 0.0000, 0.7080)
Ga (0.1599, 0.5000, 0.7111)
Ga (0.3401, 0.0000, 0.2889)
Ga (0.6599, 0.0000, 0.7111)
Ga (0.8401, 0.5000, 0.2889)
Ru (0.1958, 0.5000, 0.0905)
Ru (0.3042, 0.0000, 0.9095)
Ru (0.6958, 0.0000, 0.0905)
Ru (0.8042, 0.5000, 0.9095)
C (0.0000, 0.5000, 0.0000)
C (0.5000, 0.0000, 0.0000)

Calculated values
The value obtained for the density of states at the Fermi level is 0.554 states/eV per atom. The value obtained for the total energy is -0.2463 hartree per atom. As for the space group: No. 12.